Entry 1:
La2Be4ZnPt3 after structural relaxation, computed with PBE.

Cell lengths 4.1287, 4.1287, 9.7625 Å; angles 90.00, 90.00, 90.00 degrees
Fractional coordinates of all 10 atoms:
La 0.0000 0.5000 0.2493
La 0.5000 0.0000 0.7507
Be 0.0000 0.0000 0.0000
Be 0.0000 0.5000 0.6250
Be 0.5000 0.0000 0.3750
Be 0.5000 0.5000 0.0000
Zn 0.0000 0.0000 0.5000
Pt 0.0000 0.5000 0.8818
Pt 0.5000 0.0000 0.1182
Pt 0.5000 0.5000 0.5000

- symmetry = P-4m2 (115)
- mass density (Mg/m³) = 9.62
- total moment (μB/f.u.) = 0.00
- total DFT energy (no corrections) (eV per atom) = -5.07

Entry 2:
La2BeZnPt6 after structural relaxation, computed with PBE.

Cell lengths 5.7516, 5.7516, 7.5164 Å; angles 112.58, 112.58, 59.98 degrees
Fractional coordinates of all 10 atoms:
La 0.2161 0.2161 0.1489
La 0.7839 0.7839 0.8511
Be 0.0000 0.0000 0.5000
Zn 0.5000 0.5000 0.0000
Pt 0.2399 0.2399 0.7012
Pt 0.2400 0.7221 0.7015
Pt 0.2779 0.7600 0.2985
Pt 0.7221 0.2400 0.7015
Pt 0.7600 0.2779 0.2985
Pt 0.7601 0.7601 0.2988

- symmetry = C2/m (12)
- mass density (Mg/m³) = 13.10
- total moment (μB/f.u.) = 0.00
- total DFT energy (no corrections) (eV per atom) = -5.95

Entry 3:
RbLaBeRh2 after structural relaxation, computed with PBE.

Cell lengths 4.5450, 4.5450, 4.9277 Å; angles 90.00, 90.00, 90.00 degrees
Fractional coordinates of all 5 atoms:
Rb 0.0000 0.0000 0.0000
La 0.5000 0.5000 0.0000
Be 0.0000 0.0000 0.5000
Rh 0.0000 0.5000 0.5000
Rh 0.5000 0.0000 0.5000

- symmetry = P4/mmm (123)
- excess energy over the best structure of this formula in the dataset (eV/atom) = 0.000
- mass density (Mg/m³) = 7.16
- total moment (μB/f.u.) = 0.00
- total DFT energy (no corrections) (eV per atom) = -4.53

Entry 4:
RbLaBeRh2 after structural relaxation, computed with PBE.

Cell lengths 4.5398, 4.5398, 5.0982 Å; angles 90.00, 90.00, 90.00 degrees
Fractional coordinates of all 5 atoms:
Rb 0.0000 0.0000 0.0000
La 0.5000 0.5000 0.0000
Be 0.5000 0.5000 0.5000
Rh 0.0000 0.5000 0.5000
Rh 0.5000 0.0000 0.5000

- symmetry = P4/mmm (123)
- excess energy over the best structure of this formula in the dataset (eV/atom) = 0.025
- mass density (Mg/m³) = 6.94
- total moment (μB/f.u.) = 0.00
- total DFT energy (no corrections) (eV per atom) = -4.51

Entry 5:
Rb2LaBe2Se4 after structural relaxation, computed with PBE.

Cell lengths 8.1899, 8.1899, 8.6756 Å; angles 112.55, 112.55, 27.87 degrees
Fractional coordinates of all 9 atoms:
Rb 0.1285 0.1285 0.0523
Rb 0.8715 0.8715 0.9477
La 0.0000 0.0000 0.5000
Be 0.3284 0.3284 0.5313
Be 0.6716 0.6716 0.4687
Se 0.2098 0.2098 0.6326
Se 0.4656 0.4656 0.7382
Se 0.5344 0.5344 0.2618
Se 0.7902 0.7902 0.3674

- formation energy (no corrections) (eV/f.u.) = -9.8
- symmetry = C2/m (12)
- mass density (Mg/m³) = 4.28
- total moment (μB/f.u.) = 0.50
- total DFT energy (no corrections) (eV per atom) = -4.23

Entry 6:
RbLaBeSi2 after structural relaxation, computed with PBE.

Cell lengths 5.6602, 5.6602, 5.7541 Å; angles 90.00, 90.00, 90.00 degrees
Fractional coordinates of all 5 atoms:
Rb 0.0000 0.0000 0.0000
La 0.5000 0.5000 0.5000
Be 0.5000 0.5000 0.0000
Si 0.0000 0.5000 0.5000
Si 0.5000 0.0000 0.5000

- formation energy (no corrections) (eV/f.u.) = 5.0
- symmetry = P4/mmm (123)
- mass density (Mg/m³) = 2.61
- total moment (μB/f.u.) = 0.12
- total DFT energy (no corrections) (eV per atom) = -3.09

Entry 7:
RbLa2BeSn after structural relaxation, computed with PBE.

Cell lengths 5.6486, 5.6486, 5.4249 Å; angles 90.00, 90.00, 90.00 degrees
Fractional coordinates of all 5 atoms:
Rb 0.0000 0.0000 0.0000
La 0.0000 0.5000 0.5000
La 0.5000 0.0000 0.5000
Be 0.0000 0.0000 0.5000
Sn 0.5000 0.5000 0.0000

- symmetry = P4/mmm (123)
- mass density (Mg/m³) = 4.71
- total moment (μB/f.u.) = 0.34
- total DFT energy (no corrections) (eV per atom) = -3.33

Entry 8:
RbLaTi2Be after structural relaxation, computed with PBE.

Cell lengths 4.8413, 4.8413, 5.5236 Å; angles 90.00, 90.00, 90.00 degrees
Fractional coordinates of all 5 atoms:
Rb 0.0000 0.0000 0.0000
La 0.0000 0.0000 0.5000
Ti 0.0000 0.5000 0.0000
Ti 0.5000 0.0000 0.0000
Be 0.5000 0.5000 0.5000

- symmetry = P4/mmm (123)
- mass density (Mg/m³) = 4.22
- total moment (μB/f.u.) = 2.25
- total DFT energy (no corrections) (eV per atom) = -2.97

Entry 9:
RbLaBeTl2 after structural relaxation, computed with PBE.

Cell lengths 5.9618, 5.9618, 5.1196 Å; angles 90.00, 90.00, 90.00 degrees
Fractional coordinates of all 5 atoms:
Rb 0.0000 0.0000 0.0000
La 0.5000 0.5000 0.5000
Be 0.0000 0.0000 0.5000
Tl 0.0000 0.5000 0.0000
Tl 0.5000 0.0000 0.0000

- symmetry = P4/mmm (123)
- mass density (Mg/m³) = 5.86
- total moment (μB/f.u.) = 0.00
- total DFT energy (no corrections) (eV per atom) = -1.82

Entry 10:
RbLa2BeW after structural relaxation, computed with PBE.

Cell lengths 5.4956, 5.4956, 6.3464 Å; angles 90.00, 90.00, 90.00 degrees
Fractional coordinates of all 5 atoms:
Rb 0.0000 0.0000 0.0000
La 0.0000 0.5000 0.5000
La 0.5000 0.0000 0.5000
Be 0.5000 0.5000 0.0000
W 0.0000 0.0000 0.5000

- symmetry = P4/mmm (123)
- mass density (Mg/m³) = 4.82
- total moment (μB/f.u.) = 0.00
- total DFT energy (no corrections) (eV per atom) = -4.20

Entry 11:
Rb2LaZrBe after structural relaxation, computed with PBE.

Cell lengths 6.5454, 6.5454, 4.7979 Å; angles 90.00, 90.00, 90.00 degrees
Fractional coordinates of all 5 atoms:
Rb 0.0000 0.5000 0.0000
Rb 0.5000 0.0000 0.0000
La 0.0000 0.0000 0.5000
Zr 0.5000 0.5000 0.0000
Be 0.5000 0.5000 0.5000

- symmetry = P4/mmm (123)
- mass density (Mg/m³) = 3.31
- total moment (μB/f.u.) = 0.09
- total DFT energy (no corrections) (eV per atom) = -2.36

Entry 12:
LaBe2Re after structural relaxation, computed with PBE.

Cell lengths 8.7166, 8.7166, 8.7166 Å; angles 151.41, 151.41, 40.88 degrees
Fractional coordinates of all 8 atoms:
La 0.3750 0.6250 0.7500
La 0.6250 0.3750 0.2500
Be 0.0000 0.0000 0.0000
Be 0.0000 0.0000 0.5000
Be 0.0000 0.5000 0.0000
Be 0.5000 0.0000 0.5000
Re 0.1250 0.8750 0.2500
Re 0.8750 0.1250 0.7500

- symmetry = I4_1/amd (141)
- excess energy over the best structure of this formula in the dataset (eV/atom) = 0.312
- mass density (Mg/m³) = 7.53
- total moment (μB/f.u.) = 0.00
- total DFT energy (no corrections) (eV per atom) = -5.83

Question: What is the mass density in the second record?
Answer: 13.10 Mg/m³

Question: Which of these has the highest mass density?
Answer: La2BeZnPt6

Question: Which of these has the highest total DFT energy (no corrections)?
Answer: RbLaBeTl2

What did the ninth record say?
RbLaBeTl2 after structural relaxation, computed with PBE.

Cell lengths 5.9618, 5.9618, 5.1196 Å; angles 90.00, 90.00, 90.00 degrees
Fractional coordinates of all 5 atoms:
Rb 0.0000 0.0000 0.0000
La 0.5000 0.5000 0.5000
Be 0.0000 0.0000 0.5000
Tl 0.0000 0.5000 0.0000
Tl 0.5000 0.0000 0.0000

- symmetry = P4/mmm (123)
- mass density (Mg/m³) = 5.86
- total moment (μB/f.u.) = 0.00
- total DFT energy (no corrections) (eV per atom) = -1.82